No. 1
First-principles (PBE-GGA) data for a relaxed InTcRu4 crystal, as listed in Alexandria.

a = 5.109 Å, b = 5.109 Å, c = 5.109 Å
α = 60.00°, β = 60.00°, γ = 60.00°
Positions (direct):
In  0.000  0.000  0.000
Tc  0.250  0.250  0.250
Ru  0.125  0.625  0.625
Ru  0.625  0.125  0.625
Ru  0.625  0.625  0.125
Ru  0.625  0.625  0.625

## Properties
Its calculated formation energy is 458.7 meV per atom. As for the space group: F-43m, No. 216.



No. 2
First-principles (PBE-GGA) data for a relaxed Er3AgSn3 crystal, as listed in Alexandria.

a = 6.089 Å, b = 6.089 Å, c = 14.651 Å
α = 106.91°, β = 106.91°, γ = 43.92°
Positions (direct):
Er  0.031  0.031  0.382
Er  0.097  0.097  0.922
Er  0.231  0.231  0.224
Er  0.769  0.769  0.776
Er  0.903  0.903  0.078
Er  0.969  0.969  0.618
Ag  0.270  0.270  0.614
Ag  0.730  0.730  0.386
Sn  0.365  0.365  0.449
Sn  0.370  0.370  0.925
Sn  0.490  0.490  0.770
Sn  0.510  0.510  0.230
Sn  0.630  0.630  0.075
Sn  0.635  0.635  0.551

## Properties
Its calculated formation energy is -594.2 meV per atom. As for the space group: C2/m, No. 12.



No. 3
First-principles (PBE-GGA) data for a relaxed Na3LiHg2 crystal, as listed in Alexandria.

a = 9.049 Å, b = 9.049 Å, c = 12.131 Å
α = 110.90°, β = 110.90°, γ = 21.28°
Positions (direct):
Na  0.030  0.030  0.181
Na  0.241  0.241  0.639
Na  0.335  0.335  0.956
Na  0.665  0.665  0.044
Na  0.759  0.759  0.361
Na  0.970  0.970  0.819
Li  0.438  0.438  0.371
Li  0.562  0.562  0.629
Hg  0.149  0.149  0.815
Hg  0.396  0.396  0.571
Hg  0.604  0.604  0.429
Hg  0.851  0.851  0.185

## Properties
Its calculated formation energy is -143.2 meV per atom. As for the space group: C2/m, No. 12. Its polymorph energy (0 for the lowest one) is 0.03 eV per formula unit.



No. 4
First-principles (PBE-GGA) data for a relaxed Mg14CrSi crystal, as listed in Alexandria.

a = 10.120 Å, b = 6.268 Å, c = 6.268 Å
α = 59.72°, β = 90.00°, γ = 90.00°
Positions (direct):
Mg  0.000  0.000  0.000
Mg  0.000  0.002  0.501
Mg  0.000  0.499  0.499
Mg  0.000  0.501  0.002
Mg  0.253  0.664  0.664
Mg  0.255  0.166  0.166
Mg  0.267  0.170  0.670
Mg  0.267  0.670  0.170
Mg  0.500  0.496  0.993
Mg  0.500  0.993  0.496
Mg  0.733  0.170  0.670
Mg  0.733  0.670  0.170
Mg  0.745  0.166  0.166
Mg  0.747  0.664  0.664
Cr  0.500  0.502  0.502
Si  0.500  0.005  0.005

## Properties
The formation energy (no corrections) comes out at 0.0778 eV/atom. As for the space group: Amm2, No. 38. Its polymorph energy (0 for the lowest one) is 0.00 eV per formula unit.



No. 5
First-principles (PBE-GGA) data for a relaxed Sr2HoCdHg6 crystal, as listed in Alexandria.

a = 7.925 Å, b = 7.925 Å, c = 7.925 Å
α = 60.00°, β = 60.00°, γ = 60.00°
Positions (direct):
Sr  0.250  0.250  0.250
Sr  0.750  0.750  0.750
Ho  0.000  0.000  0.000
Cd  0.500  0.500  0.500
Hg  0.254  0.254  0.746
Hg  0.254  0.746  0.254
Hg  0.254  0.746  0.746
Hg  0.746  0.254  0.254
Hg  0.746  0.254  0.746
Hg  0.746  0.746  0.254

## Properties
Its calculated formation energy is -118.5 meV per atom. As for the space group: Fm-3m, No. 225.



No. 6
First-principles (PBE-GGA) data for a relaxed Zr2ReCCl crystal, as listed in Alexandria.

a = 4.629 Å, b = 4.629 Å, c = 4.010 Å
α = 90.00°, β = 90.00°, γ = 90.00°
Positions (direct):
Zr  0.000  0.500  0.000
Zr  0.500  0.000  0.000
Re  0.000  0.000  0.500
C  0.500  0.500  0.000
Cl  0.500  0.500  0.500

## Properties
The formation energy (no corrections) comes out at 0.7776 eV/atom. As for the space group: P4/mmm, No. 123. Its polymorph energy (0 for the lowest one) is 3.83 eV per formula unit.



No. 7
First-principles (PBE-GGA) data for a relaxed ScCo3Ir crystal, as listed in Alexandria.

a = 4.530 Å, b = 4.530 Å, c = 4.530 Å
α = 90.00°, β = 90.00°, γ = 90.00°
Positions (direct):
Sc  0.000  0.000  0.000
Co  0.000  0.500  0.500
Co  0.500  0.000  0.500
Co  0.500  0.500  0.000
Ir  0.500  0.500  0.500

## Properties
Its calculated formation energy is 804.7 meV per atom. As for the space group: Pm-3m, No. 221. Its polymorph energy (0 for the lowest one) is 0.00 eV per formula unit.



No. 8
First-principles (PBE-GGA) data for a relaxed TmLuRe4 crystal, as listed in Alexandria.

a = 5.376 Å, b = 5.376 Å, c = 5.376 Å
α = 60.00°, β = 60.00°, γ = 60.00°
Positions (direct):
Tm  0.000  0.000  0.000
Lu  0.250  0.250  0.250
Re  0.125  0.625  0.625
Re  0.625  0.125  0.625
Re  0.625  0.625  0.125
Re  0.625  0.625  0.625

## Properties
Its calculated formation energy is -255.0 meV per atom. As for the space group: F-43m, No. 216.



| no. | E_tot (eV/atom) |
| --- | --- |
| 1 | -7.9093 |
| 2 | -4.6726 |
| 3 | -1.2223 |
| 4 | -2.2579 |
| 5 | -1.1853 |
| 6 | -7.3453 |
| 7 | -6.4973 |
| 8 | -10.0525 |